RbBa2InBr8: optimized geometry, PBE.

Size of the total moment, Bohr magnetons per cell: 0.000
Fermi-level density of states, states/eV/f.u.: 0.0
Raw formation energy, eV/atom: -1.608

abc: 7.107 7.075 9.936
angles: 89.95 89.97 90.79
Positions (direct):
Rb1 0.000 0.000 0.500
Ba1 0.500 0.499 0.760
Ba2 0.500 0.501 0.240
In1 0.000 0.000 0.000
Br1 0.135 0.775 0.198
Br2 0.672 0.776 0.999
Br3 0.864 0.223 0.198
Br4 0.865 0.225 0.802
Br5 0.328 0.224 0.001
Br6 0.136 0.777 0.802
Br7 0.595 0.750 0.500
Br8 0.405 0.250 0.500